VASP calculation (PBE) on a relaxed structure of K2YTiAg.

Cell: 5.8929 5.8929 5.9249 Å, 90.00 90.00 90.00°
Closest atoms and distances in Å follow each position.
Space group P4/mmm (No. 123)
Asymmetric unit:
K 0.0000 0.5000 0.0000 [2 per cell]  2 Ag 2.95
Y 0.0000 0.0000 0.5000 [1 per cell]  2 Ag 2.96
Ti 0.5000 0.5000 0.5000 [1 per cell]  4 Y 4.17, 8 K 4.18
Ag 0.0000 0.0000 0.0000 [1 per cell]  4 K 2.95, 2 Y 2.96

volume = 206 Å³/f.u.
ΔE_f = 1.065 eV per atom
N(E_F) = 11.0 states/eV/cell